InAg3Pd | PBE | relaxed

As for the energy above the most stable polymorph in this dataset: 0.000 eV/atom. The value obtained for the density of states at the Fermi level is 2.00 states/eV/cell. Its energy of formation from the pure elements is 53.1 kJ/mol of atoms. The total magnetic moment comes out at 0.000 μB per atom.

Structure (POSCAR):
```
InAg3Pd
1.0
5.097 0.000 0.000
0.000 5.097 0.000
0.000 0.000 5.097
Pd Ag In
1 3 1
direct
0.000 0.000 0.000
0.000 0.500 0.000
0.000 0.000 0.500
0.500 0.000 0.000
0.500 0.500 0.500
```